(1)
VASP calculation (PBE) on a geometry-optimized Mo2SeCl structure.

a = 6.4279 Å, b = 6.4279 Å, c = 6.4279 Å
α = 126.75°, β = 126.75°, γ = 78.66°
Fractional positions:
Mo  0.1055  0.6250  0.9805
Mo  0.3750  0.3555  0.4805
Mo  0.6445  0.1250  0.0195
Mo  0.8750  0.8945  0.5195
Se  0.2500  0.7500  0.5000
Se  0.5000  0.5000  0.0000
Cl  0.0000  0.0000  0.0000
Cl  0.7500  0.2500  0.5000

Output
Formation energy from raw total energies in eV/atom: 0.70
Energy relative to the lowest polymorph listed for this composition in eV/atom: 0.891

=====

(2)
VASP calculation (PBE) on a geometry-optimized TcMo2RuN structure.

a = 4.1108 Å, b = 4.1108 Å, c = 3.9827 Å
α = 90.00°, β = 90.00°, γ = 90.00°
Fractional positions:
Tc  0.0000  0.0000  0.0000
Mo  0.0000  0.5000  0.5000
Mo  0.5000  0.0000  0.5000
Ru  0.5000  0.5000  0.0000
N  0.5000  0.5000  0.5000

Output
Formation energy from raw total energies in eV/atom: -0.01
Energy relative to the lowest polymorph listed for this composition in eV/atom: 0.038

=====

(3)
VASP calculation (PBE) on a geometry-optimized TlRhF5 structure.

a = 6.1360 Å, b = 6.1360 Å, c = 7.6695 Å
α = 107.55°, β = 107.55°, γ = 76.04°
Fractional positions:
Tl  0.0206  0.9794  0.7500
Tl  0.9794  0.0206  0.2500
Rh  0.5000  0.5000  0.0000
Rh  0.5000  0.5000  0.5000
F  0.1961  0.6743  0.0227
F  0.2189  0.3716  0.3791
F  0.3257  0.8039  0.4773
F  0.3716  0.2189  0.8791
F  0.4146  0.5854  0.7500
F  0.5854  0.4146  0.2500
F  0.6284  0.7811  0.1209
F  0.6743  0.1961  0.5227
F  0.7811  0.6284  0.6209
F  0.8039  0.3257  0.9773

Output
Formation energy from raw total energies in eV/atom: -1.63

=====

(4)
VASP calculation (PBE) on a geometry-optimized Li2NdTlCl6 structure.

a = 7.4469 Å, b = 7.4469 Å, c = 7.4469 Å
α = 56.03°, β = 56.03°, γ = 56.03°
Fractional positions:
Li  0.0000  0.0000  0.0000
Li  0.4951  0.4951  0.4951
Nd  0.7967  0.7967  0.7967
Tl  0.2736  0.2736  0.2736
Cl  0.0940  0.3750  0.7403
Cl  0.2219  0.8025  0.6688
Cl  0.3750  0.7403  0.0940
Cl  0.6688  0.2219  0.8025
Cl  0.7403  0.0940  0.3750
Cl  0.8025  0.6688  0.2219

Output
Formation energy from raw total energies in eV/atom: -1.81

=====

(5)
VASP calculation (PBE) on a geometry-optimized Be2SbRu structure.

a = 7.3732 Å, b = 7.3732 Å, c = 7.3732 Å
α = 24.22°, β = 24.22°, γ = 24.22°
Fractional positions:
Be  0.2365  0.2365  0.2365
Be  0.7635  0.7635  0.7635
Sb  0.0000  0.0000  0.0000
Ru  0.5000  0.5000  0.5000

Output
Formation energy from raw total energies in eV/atom: 0.44

=====

(6)
VASP calculation (PBE) on a geometry-optimized Pm2NdAg6 structure.

a = 8.3227 Å, b = 8.3227 Å, c = 3.5609 Å
α = 90.00°, β = 90.00°, γ = 120.00°
Fractional positions:
Pm  0.3333  0.6667  0.0000
Pm  0.6667  0.3333  0.0000
Nd  0.0000  0.0000  0.0000
Ag  0.0000  0.3338  0.5000
Ag  0.0000  0.6662  0.5000
Ag  0.3338  0.0000  0.5000
Ag  0.3338  0.3338  0.5000
Ag  0.6662  0.0000  0.5000
Ag  0.6662  0.6662  0.5000

Output
Energy relative to the lowest polymorph listed for this composition in eV/atom: 0.000
Formation energy from the elements in eV/atom: -0.259

=====

(7)
VASP calculation (PBE) on a geometry-optimized CaMg2Br structure.

a = 3.6497 Å, b = 3.6497 Å, c = 9.3434 Å
α = 90.00°, β = 90.00°, γ = 90.00°
Fractional positions:
Ca  0.0000  0.0000  0.0000
Mg  0.0000  0.0000  0.4330
Mg  0.5000  0.5000  0.2568
Br  0.5000  0.5000  0.8315

Output
Formation energy from raw total energies in eV/atom: -0.55
Energy relative to the lowest polymorph listed for this composition in eV/atom: 0.006

=====

(8)
VASP calculation (PBE) on a geometry-optimized Li3TiBr6 structure.

a = 6.7089 Å, b = 7.2667 Å, c = 12.1172 Å
α = 90.00°, β = 121.24°, γ = 90.00°
Fractional positions:
Li  0.0000  0.0000  0.0000
Li  0.0000  0.5000  0.5000
Li  0.1409  0.1070  0.6632
Li  0.1409  0.3930  0.1632
Li  0.8591  0.6070  0.8368
Li  0.8591  0.8930  0.3368
Ti  0.5000  0.0000  0.5000
Ti  0.5000  0.5000  0.0000
Br  0.1301  0.0578  0.2666
Br  0.1301  0.4422  0.7666
Br  0.2364  0.6856  0.0620
Br  0.2364  0.8144  0.5620
Br  0.4027  0.2072  0.0778
Br  0.4027  0.2928  0.5778
Br  0.5973  0.7072  0.4222
Br  0.5973  0.7928  0.9222
Br  0.7636  0.1856  0.4380
Br  0.7636  0.3144  0.9380
Br  0.8699  0.5578  0.2334
Br  0.8699  0.9422  0.7334

Output
Formation energy from raw total energies in eV/atom: -1.34

=====

no.,DOS at the Fermi energy (states/eV/atom)
1,1.268
2,0.772
3,0.411
4,0.000
5,0.769
6,0.773
7,0.282
8,0.469